1.
DFT (PBE) results for a relaxed structure of Co2SiI.

Lattice parameters (Å, degrees): 4.361 4.361 4.361 60.00 60.00 60.00
Sites, in units of the cell vectors:
Co1 0.250 0.250 0.250
Co2 0.750 0.750 0.750
Si1 0.000 0.000 0.000
I1 0.500 0.500 0.500

Results
Formation energy without anion corrections: 2.78 eV per formula unit
E above lowest polymorph: 253 meV/atom
SG: Fm-3m (225)
N(E_F): 5.322 states/eV/cell

=====

2.
DFT (PBE) results for a relaxed structure of CoSiI3.

Lattice parameters (Å, degrees): 5.592 5.592 5.592 90.00 90.00 90.00
Sites, in units of the cell vectors:
I1 0.000 0.500 0.000
I2 0.000 0.000 0.500
I3 0.500 0.000 0.000
Si1 0.000 0.000 0.000
Co1 0.500 0.500 0.500

Results
Formation energy without anion corrections: 3.97 eV per formula unit
E above lowest polymorph: 181 meV/atom
SG: Pm-3m (221)
N(E_F): 21.143 states/eV/cell

=====

3.
DFT (PBE) results for a relaxed structure of CoSi2TcI.

Lattice parameters (Å, degrees): 4.641 5.047 4.641 90.00 90.00 90.00
Sites, in units of the cell vectors:
Tc1 0.000 0.000 0.000
Co1 0.000 0.500 0.000
Si1 0.500 0.000 0.000
Si2 0.000 0.000 0.500
I1 0.500 0.500 0.500

Results
Formation energy without anion corrections: 3.78 eV per formula unit
SG: P4/mmm (123)
N(E_F): 4.713 states/eV/cell

=====

4.
DFT (PBE) results for a relaxed structure of Ti2CoSiI.

Lattice parameters (Å, degrees): 4.705 5.340 4.705 90.00 90.00 90.00
Sites, in units of the cell vectors:
Ti1 0.500 0.000 0.000
Ti2 0.000 0.000 0.500
Si1 0.000 0.000 0.000
I1 0.000 0.500 0.000
Co1 0.500 0.500 0.500

Results
Formation energy without anion corrections: 5.81 eV per formula unit
SG: P4/mmm (123)
N(E_F): 8.274 states/eV/cell

=====

5.
DFT (PBE) results for a relaxed structure of YCoSi2I.

Lattice parameters (Å, degrees): 5.558 4.898 5.558 90.00 90.00 90.00
Sites, in units of the cell vectors:
Y1 0.000 0.000 0.000
Si1 0.500 0.000 0.000
Si2 0.000 0.000 0.500
I1 0.500 0.500 0.500
Co1 0.000 0.500 0.000

Results
Formation energy without anion corrections: 6.66 eV per formula unit
SG: P4/mmm (123)
N(E_F): 10.709 states/eV/cell

=====

6.
DFT (PBE) results for a relaxed structure of Sm3CoI2.

Lattice parameters (Å, degrees): 3.931 6.079 8.353 111.34 103.61 90.00
Sites, in units of the cell vectors:
Co1 0.000 0.500 0.000
Sm1 0.000 0.000 0.000
Sm2 0.616 0.616 0.231
Sm3 0.384 0.384 0.769
I1 0.316 0.816 0.631
I2 0.684 0.184 0.369

Results
Formation energy without anion corrections: -4.01 eV per formula unit
SG: Immm (71)
N(E_F): 4.179 states/eV/cell

=====

7.
DFT (PBE) results for a relaxed structure of Sm3CoI.

Lattice parameters (Å, degrees): 3.863 7.767 10.543 106.91 90.00 104.40
Sites, in units of the cell vectors:
Co1 0.588 0.175 0.591
Co2 0.412 0.825 0.409
Sm1 0.029 0.058 0.360
Sm2 0.774 0.548 0.355
Sm3 0.971 0.942 0.640
Sm4 0.651 0.303 0.885
Sm5 0.349 0.697 0.115
Sm6 0.226 0.452 0.645
I1 0.873 0.746 0.877
I2 0.127 0.254 0.123

Results
Formation energy without anion corrections: -1.90 eV per formula unit
E above lowest polymorph: 0 meV/atom
SG: C2/m (12)
N(E_F): 8.049 states/eV/cell

=====

8.
DFT (PBE) results for a relaxed structure of Sm3CoI.

Lattice parameters (Å, degrees): 4.042 7.075 10.100 90.00 90.00 90.00
Sites, in units of the cell vectors:
Sm1 0.750 0.250 0.613
Sm2 0.750 0.996 0.141
Sm3 0.250 0.750 0.387
Sm4 0.250 0.004 0.859
Sm5 0.250 0.496 0.859
Sm6 0.750 0.504 0.141
I1 0.250 0.250 0.353
I2 0.750 0.750 0.647
Co1 0.750 0.250 0.895
Co2 0.250 0.750 0.105

Results
Formation energy without anion corrections: -1.78 eV per formula unit
E above lowest polymorph: 24 meV/atom
SG: Pmmn (59)
N(E_F): 7.599 states/eV/cell

=====

9.
DFT (PBE) results for a relaxed structure of Sm5Co2I2.

Lattice parameters (Å, degrees): 7.782 7.789 9.277 90.00 65.20 90.00
Sites, in units of the cell vectors:
I1 0.711 0.500 0.577
I2 0.789 0.000 0.423
I3 0.289 0.500 0.423
I4 0.211 0.000 0.577
Sm1 0.451 0.154 0.790
Sm2 0.549 0.846 0.210
Sm3 0.500 0.500 0.000
Sm4 0.241 0.154 0.210
Sm5 0.741 0.346 0.210
Sm6 0.759 0.846 0.790
Sm7 0.000 0.000 0.000
Sm8 0.259 0.654 0.790
Sm9 0.951 0.346 0.790
Sm10 0.049 0.654 0.210
Co1 0.358 0.860 0.000
Co2 0.642 0.140 0.000
Co3 0.858 0.640 0.000
Co4 0.142 0.360 0.000

Results
Formation energy without anion corrections: -4.15 eV per formula unit
SG: Cmce (64)
N(E_F): 14.166 states/eV/cell

=====

10.
DFT (PBE) results for a relaxed structure of TbSmCoI.

Lattice parameters (Å, degrees): 3.987 3.986 8.303 89.99 103.88 119.99
Sites, in units of the cell vectors:
Sm1 0.517 0.156 0.689
Co1 0.305 0.551 0.871
Tb1 0.091 0.943 0.048
I1 0.965 0.381 0.361

Results
Formation energy without anion corrections: -2.29 eV per formula unit
SG: R3m (160)
N(E_F): 0.784 states/eV/cell

=====

11.
DFT (PBE) results for a relaxed structure of SmThCoI.

Lattice parameters (Å, degrees): 4.047 4.072 8.453 90.04 103.92 120.10
Sites, in units of the cell vectors:
I1 0.971 0.384 0.368
Co1 0.311 0.554 0.880
Sm1 0.516 0.157 0.686
Th1 0.079 0.937 0.036

Results
Formation energy without anion corrections: -2.41 eV per formula unit
SG: Cm (8)
N(E_F): 2.492 states/eV/cell

=====

12.
DFT (PBE) results for a relaxed structure of SmTmCoI.

Lattice parameters (Å, degrees): 3.959 3.957 8.240 89.99 103.90 119.99
Sites, in units of the cell vectors:
Sm1 0.518 0.157 0.690
Tm1 0.089 0.943 0.047
I1 0.964 0.380 0.359
Co1 0.307 0.551 0.874

Results
Formation energy without anion corrections: -2.24 eV per formula unit
SG: R3m (160)
N(E_F): 0.596 states/eV/cell

=====

13.
DFT (PBE) results for a relaxed structure of Sm6ZnCo2I3.

Lattice parameters (Å, degrees): 7.127 7.127 8.350 98.18 98.18 119.97
Sites, in units of the cell vectors:
Zn1 0.000 0.000 0.000
Sm1 0.063 0.424 0.187
Sm2 0.424 0.063 0.187
Sm3 0.576 0.937 0.813
Sm4 0.299 0.299 0.815
Sm5 0.701 0.701 0.185
Sm6 0.937 0.576 0.813
Co1 0.667 0.333 0.000
Co2 0.333 0.667 0.000
I1 0.837 0.163 0.500
I2 0.500 0.500 0.500
I3 0.163 0.837 0.500

Results
Formation energy without anion corrections: -6.89 eV per formula unit
SG: C2/m (12)
N(E_F): 7.824 states/eV/cell

=====

14.
DFT (PBE) results for a relaxed structure of Co4Sn2I.

Lattice parameters (Å, degrees): 4.602 4.602 7.342 71.73 71.73 90.00
Sites, in units of the cell vectors:
Co1 0.500 0.000 0.000
Co2 0.817 0.817 0.366
Co3 0.000 0.500 0.000
Co4 0.183 0.183 0.634
Sn1 0.628 0.628 0.744
Sn2 0.372 0.372 0.256
I1 0.000 0.000 0.000

Results
Formation energy without anion corrections: 7.23 eV per formula unit
SG: I4/mmm (139)
N(E_F): 12.338 states/eV/cell

=====

15.
DFT (PBE) results for a relaxed structure of Co2SnI.

Lattice parameters (Å, degrees): 4.633 4.633 4.633 60.00 60.00 60.00
Sites, in units of the cell vectors:
Co1 0.750 0.750 0.750
Co2 0.250 0.250 0.250
Sn1 0.000 0.000 0.000
I1 0.500 0.500 0.500

Results
Formation energy without anion corrections: 2.87 eV per formula unit
E above lowest polymorph: 102 meV/atom
SG: Fm-3m (225)
N(E_F): 6.658 states/eV/cell

=====

16.
DFT (PBE) results for a relaxed structure of CoSnI5.

Lattice parameters (Å, degrees): 7.986 7.986 11.530 68.60 68.60 87.98
Sites, in units of the cell vectors:
Sn1 0.000 0.000 0.500
Sn2 0.000 0.000 0.000
Co1 0.387 0.613 0.750
Co2 0.613 0.387 0.250
I1 0.269 0.350 0.335
I2 0.086 0.914 0.250
I3 0.731 0.650 0.665
I4 0.914 0.086 0.750
I5 0.754 0.298 0.047
I6 0.350 0.269 0.835
I7 0.650 0.731 0.165
I8 0.702 0.246 0.453
I9 0.298 0.754 0.547
I10 0.246 0.702 0.953

Results
Formation energy without anion corrections: -1.23 eV per formula unit
SG: C2/c (15)
N(E_F): 14.298 states/eV/cell

=====

17.
DFT (PBE) results for a relaxed structure of Co2SnI8.

Lattice parameters (Å, degrees): 7.126 8.554 8.554 78.71 83.66 83.66
Sites, in units of the cell vectors:
I1 0.287 0.803 0.803
I2 0.233 0.287 0.924
I3 0.767 0.076 0.713
I4 0.768 0.615 0.615
I5 0.767 0.713 0.076
I6 0.713 0.197 0.197
I7 0.233 0.924 0.287
I8 0.232 0.385 0.385
Co1 0.645 0.799 0.799
Co2 0.355 0.201 0.201
Sn1 0.000 0.000 0.000

Results
Formation energy without anion corrections: -1.46 eV per formula unit
SG: C2/m (12)
N(E_F): 10.386 states/eV/cell

=====

18.
DFT (PBE) results for a relaxed structure of CoSn3I.

Lattice parameters (Å, degrees): 5.052 5.052 5.052 90.00 90.00 90.00
Sites, in units of the cell vectors:
Co1 0.000 0.000 0.000
Sn1 0.000 0.000 0.500
Sn2 0.500 0.000 0.000
Sn3 0.000 0.500 0.000
I1 0.500 0.500 0.500

Results
Formation energy without anion corrections: -0.03 eV per formula unit
SG: Pm-3m (221)
N(E_F): 3.552 states/eV/cell

=====

19.
DFT (PBE) results for a relaxed structure of Co2SnI.

Lattice parameters (Å, degrees): 6.028 6.028 6.771 63.57 63.57 90.00
Sites, in units of the cell vectors:
Co1 0.375 0.368 0.750
Co2 0.118 0.625 0.250
Co3 0.875 0.882 0.750
Co4 0.632 0.125 0.250
I1 0.750 0.250 0.500
I2 0.000 0.000 0.000
Sn1 0.250 0.750 0.500
Sn2 0.500 0.500 0.000

Results
Formation energy without anion corrections: 2.47 eV per formula unit
E above lowest polymorph: 0 meV/atom
SG: I-42d (122)
N(E_F): 8.155 states/eV/cell

=====

20.
DFT (PBE) results for a relaxed structure of CoSnI3.

Lattice parameters (Å, degrees): 6.081 6.081 6.081 90.00 90.00 90.00
Sites, in units of the cell vectors:
I1 0.500 0.000 0.000
I2 0.000 0.500 0.000
I3 0.000 0.000 0.500
Co1 0.500 0.500 0.500
Sn1 0.000 0.000 0.000

Results
Formation energy without anion corrections: 3.08 eV per formula unit
SG: Pm-3m (221)
N(E_F): 33.534 states/eV/cell